1.
# ScTaN2O

Crystalline ScTaN2O at its relaxed geometry (PBE, the Open Quantum Materials Database).

Cell: 3.923 3.501 5.054 Å, 90.00 102.23 90.00°
Sites, in units of the cell vectors:
Sc  0.000  0.000  0.000
Ta  0.637  0.500  0.386
N  0.106  0.500  0.287
N  0.773  0.500  0.761
O  0.562  0.000  0.184

Values from the calculation:
Its calculated total energy is -9.6770 eV per atom.

***

2.
# ScTaN2O

Crystalline ScTaN2O at its relaxed geometry (PBE, the Open Quantum Materials Database).

Cell: 5.992 5.992 12.003 Å, 90.00 90.00 120.00°
Sites, in units of the cell vectors:
Sc  0.000  0.000  0.000
Sc  0.000  0.000  0.500
Sc  0.333  0.667  0.492
Sc  0.333  0.667  0.992
Sc  0.667  0.333  0.492
Sc  0.667  0.333  0.992
Ta  0.000  0.333  0.244
Ta  0.000  0.667  0.744
Ta  0.333  0.000  0.244
Ta  0.333  0.333  0.744
Ta  0.667  0.000  0.744
Ta  0.667  0.667  0.244
N  0.000  0.326  0.408
N  0.000  0.342  0.081
N  0.000  0.658  0.581
N  0.000  0.674  0.908
N  0.326  0.000  0.408
N  0.326  0.326  0.908
N  0.342  0.000  0.081
N  0.342  0.342  0.581
N  0.658  0.000  0.581
N  0.658  0.658  0.081
N  0.674  0.000  0.908
N  0.674  0.674  0.408
O  0.000  0.000  0.237
O  0.000  0.000  0.737
O  0.333  0.667  0.248
O  0.333  0.667  0.748
O  0.667  0.333  0.248
O  0.667  0.333  0.748

Values from the calculation:
Its calculated total energy is -9.3581 eV per atom.

***

3.
# ScTaN2O

Crystalline ScTaN2O at its relaxed geometry (PBE, the Open Quantum Materials Database).

Cell: 7.657 5.301 5.562 Å, 90.00 90.00 90.00°
Sites, in units of the cell vectors:
Sc  0.000  0.215  0.000
Sc  0.000  0.785  0.500
Sc  0.500  0.283  0.129
Sc  0.500  0.717  0.629
Ta  0.250  0.251  0.564
Ta  0.250  0.749  0.064
Ta  0.750  0.251  0.564
Ta  0.750  0.749  0.064
N  0.176  0.055  0.264
N  0.176  0.945  0.764
N  0.324  0.443  0.868
N  0.324  0.557  0.368
N  0.676  0.443  0.868
N  0.676  0.557  0.368
N  0.824  0.055  0.264
N  0.824  0.945  0.764
O  0.000  0.393  0.617
O  0.000  0.607  0.117
O  0.500  0.107  0.512
O  0.500  0.893  0.012

Values from the calculation:
Its calculated total energy is -9.8149 eV per atom.

***

4.
# ScTaN2O

Crystalline ScTaN2O at its relaxed geometry (PBE, the Open Quantum Materials Database).

Cell: 5.656 5.656 13.876 Å, 90.00 90.00 120.00°
Sites, in units of the cell vectors:
Sc  0.000  0.000  0.250
Sc  0.000  0.000  0.750
Sc  0.333  0.667  0.140
Sc  0.333  0.667  0.360
Sc  0.667  0.333  0.640
Sc  0.667  0.333  0.860
Ta  0.000  0.000  0.000
Ta  0.000  0.000  0.500
Ta  0.333  0.667  0.646
Ta  0.333  0.667  0.854
Ta  0.667  0.333  0.146
Ta  0.667  0.333  0.354
N  0.155  0.311  0.596
N  0.155  0.311  0.904
N  0.155  0.845  0.596
N  0.155  0.845  0.904
N  0.311  0.155  0.096
N  0.311  0.155  0.404
N  0.689  0.845  0.596
N  0.689  0.845  0.904
N  0.845  0.155  0.096
N  0.845  0.155  0.404
N  0.845  0.689  0.096
N  0.845  0.689  0.404
O  0.028  0.514  0.250
O  0.486  0.514  0.250
O  0.486  0.972  0.250
O  0.514  0.028  0.750
O  0.514  0.486  0.750
O  0.972  0.486  0.750

Values from the calculation:
Its calculated total energy is -9.3153 eV per atom.